No. 1
A plane-wave DFT calculation with PBE was carried out for a geometry-optimized Si2AgRh structure.

Structure (POSCAR):
```
Si2AgRh
1.0
-7.750 2.692 1.626
-8.345 0.518 -0.209
-7.944 -0.034 2.616
Ag Rh Si
1 1 2
direct
0.250 0.250 0.250
0.750 0.750 0.750
0.007 0.007 0.007
0.493 0.493 0.493
```

formation energy without anion corrections	-145	meV/atom
energy above the most stable polymorph in this dataset	0.56	kcal/mol of atoms


No. 2
A plane-wave DFT calculation with PBE was carried out for a geometry-optimized BaHf structure.

Structure (POSCAR):
```
BaHf
1.0
-1.073 5.434 -7.079
-6.822 -5.096 -2.878
-5.753 5.029 4.733
Ba Hf
6 6
direct
0.250 0.000 0.500
0.750 0.000 0.500
0.000 0.500 0.250
0.000 0.500 0.750
0.500 0.250 0.000
0.500 0.750 0.000
0.250 0.500 0.000
0.750 0.500 0.000
0.500 0.000 0.250
0.500 0.000 0.750
0.000 0.250 0.500
0.000 0.750 0.500
```

formation energy from the elements	2.47	eV per atom
energy above the most stable polymorph in this dataset	44.10	kcal/mol of atoms


No. 3
A plane-wave DFT calculation with PBE was carried out for a geometry-optimized LaTc2P structure.

Structure (POSCAR):
```
LaTc2P
1.0
3.085 0.000 0.000
0.000 3.085 0.000
0.000 0.000 7.431
La Tc P
1 2 1
direct
0.000 0.000 0.506
0.000 0.000 0.978
0.500 0.500 0.200
0.500 0.500 0.816
```

formation energy from the elements	-0.19	eV per atom


No. 4
A plane-wave DFT calculation with PBE was carried out for a geometry-optimized InRePt2 structure.

Structure (POSCAR):
```
InRePt2
1.0
-2.125 -1.068 1.587
1.862 -1.700 1.349
1.240 5.742 5.524
In Pt Re
1 2 1
direct
0.500 0.500 0.750
0.000 0.000 0.017
0.000 0.000 0.483
0.500 0.500 0.250
```

formation energy from the elements	-0.11	eV per atom


No. 5
A plane-wave DFT calculation with PBE was carried out for a geometry-optimized TiRhAu2 structure.

Structure (POSCAR):
```
TiRhAu2
1.0
-2.095 -7.065 0.105
2.908 -0.762 6.729
-1.902 -3.213 4.495
Rh Au Ti
2 4 2
direct
0.000 0.000 0.000
0.750 0.250 0.500
0.618 0.125 0.250
0.132 0.625 0.250
0.375 0.382 0.750
0.875 0.868 0.750
0.500 0.500 0.000
0.250 0.750 0.500
```

formation energy from the elements	0.08	eV per atom